Entry i
A plane-wave DFT calculation with PBE-GGA was carried out for crystalline LaRe2Ag at its relaxed geometry.

The space group is No. 35.

```
LaRe2Ag
1.0
1.5706 -2.3993 0.0000
1.5706 2.3993 0.0000
0.0000 0.0000 10.0128
La Re Ag
1 2 1
Direct
0.0000 0.0000 0.0000
0.0000 0.0000 0.5351
0.5000 0.5000 0.7377
0.5000 0.5000 0.2927
```

***

Entry ii
A plane-wave DFT calculation with PBE-GGA was carried out for crystalline LaRe2Ag at its relaxed geometry.

The space group is No. 216.

```
LaRe2Ag
1.0
0.0000 3.3753 3.3753
3.3753 0.0000 3.3753
3.3753 3.3753 0.0000
La Re Ag
1 2 1
Direct
0.0000 0.0000 0.0000
0.2500 0.2500 0.2500
0.5000 0.5000 0.5000
0.7500 0.7500 0.7500
```

***

Entry iii
A plane-wave DFT calculation with PBE-GGA was carried out for crystalline LaRe2Ag at its relaxed geometry.

The space group is No. 47.

```
LaRe2Ag
1.0
3.2874 0.0000 0.0000
0.0000 4.6788 0.0000
0.0000 0.0000 5.0096
La Re Ag
1 2 1
Direct
0.0000 0.0000 0.0000
0.0000 0.5000 0.5000
0.5000 0.0000 0.5000
0.5000 0.5000 0.0000
```

***

Most stable: entry i. Least stable: entry iii.

***

Entry i
A plane-wave DFT calculation with PBE-GGA was carried out for crystalline LaReAg at its relaxed geometry.

The space group is No. 156.

```
LaReAg
1.0
5.0545 0.0000 0.0000
-2.5273 4.3774 0.0000
0.0000 0.0000 2.8814
La Re Ag
1 1 1
Direct
0.0000 0.0000 0.0000
0.6667 0.3333 0.5012
0.3333 0.6667 0.4982
```

***

Entry ii
A plane-wave DFT calculation with PBE-GGA was carried out for crystalline LaReAg at its relaxed geometry.

The space group is No. 107.

```
LaReAg
1.0
-1.4372 1.4372 7.3799
1.4372 -1.4372 7.3799
1.4372 1.4372 -7.3799
La Re Ag
1 1 1
Direct
0.0000 0.0000 0.0000
0.3276 0.3276 0.0000
0.6872 0.6872 0.0000
```

***

Entry iii
A plane-wave DFT calculation with PBE-GGA was carried out for crystalline LaReAg at its relaxed geometry.

The space group is No. 44.

```
LaReAg
1.0
-1.4362 2.1415 5.2153
1.4362 -2.1415 5.2153
1.4362 2.1415 -5.2153
La Re Ag
1 1 1
Direct
0.0000 0.0000 0.0000
0.6822 0.6822 0.0000
0.2993 0.2993 0.0000
```

***

Most stable: entry iii. Least stable: entry ii.

***

Entry i
A plane-wave DFT calculation with PBE-GGA was carried out for crystalline LaReAg at its relaxed geometry.

The space group is No. 216.

```
LaReAg
1.0
0.0000 3.4562 3.4562
3.4562 0.0000 3.4562
3.4562 3.4562 0.0000
La Re Ag
1 1 1
Direct
0.0000 0.0000 0.0000
0.7500 0.7500 0.7500
0.2500 0.2500 0.2500
```

***

Entry ii
A plane-wave DFT calculation with PBE-GGA was carried out for crystalline LaReAg at its relaxed geometry.

The space group is No. 107.

```
LaReAg
1.0
-1.7985 1.7985 5.1311
1.7985 -1.7985 5.1311
1.7985 1.7985 -5.1311
La Re Ag
1 1 1
Direct
0.0000 0.0000 0.0000
0.6896 0.6896 0.0000
0.2966 0.2966 0.0000
```

***

Most stable: entry ii. Least stable: entry i.

***

Entry i
A plane-wave DFT calculation with PBE-GGA was carried out for crystalline LaReAg2 at its relaxed geometry.

The space group is No. 166.

```
LaReAg2
1.0
1.4778 0.8532 10.5068
-1.4778 0.8532 10.5068
0.0000 -1.7064 10.5068
La Re Ag
1 1 2
Direct
0.0000 0.0000 0.0000
0.5000 0.5000 0.5000
0.2405 0.2405 0.2405
0.7595 0.7595 0.7595
```

***

Entry ii
A plane-wave DFT calculation with PBE-GGA was carried out for crystalline LaReAg2 at its relaxed geometry.

The space group is No. 119.

```
LaReAg2
1.0
-2.1764 2.1764 4.3920
2.1764 -2.1764 4.3920
2.1764 2.1764 -4.3920
La Re Ag
1 1 2
Direct
0.0000 0.0000 0.0000
0.7500 0.2500 0.5000
0.2500 0.7500 0.5000
0.5000 0.5000 0.0000
```

***

Entry iii
A plane-wave DFT calculation with PBE-GGA was carried out for crystalline LaReAg2 at its relaxed geometry.

The space group is No. 123.

```
LaReAg2
1.0
4.2271 0.0000 0.0000
0.0000 4.2271 0.0000
0.0000 0.0000 4.5826
La Re Ag
1 1 2
Direct
0.0000 0.0000 0.0000
0.5000 0.5000 0.0000
0.0000 0.5000 0.5000
0.5000 0.0000 0.5000
```

***

Most stable: entry iii. Least stable: entry i.

***

Entry i
A plane-wave DFT calculation with PBE-GGA was carried out for crystalline LaReAg2 at its relaxed geometry.

The space group is No. 12.

```
LaReAg2
1.0
2.8293 -5.1717 0.0000
2.8293 5.1717 0.0000
-1.0208 0.0000 2.7568
La Re Ag
1 1 2
Direct
0.0000 0.0000 0.0000
0.5000 0.5000 0.0000
0.0000 0.5000 0.5000
0.5000 0.0000 0.5000
```

***

Entry ii
A plane-wave DFT calculation with PBE-GGA was carried out for crystalline LaReAg2 at its relaxed geometry.

The space group is No. 71.

```
LaReAg2
1.0
-1.6232 2.3870 5.3700
1.6232 -2.3870 5.3700
1.6232 2.3870 -5.3700
La Re Ag
1 1 2
Direct
0.0000 0.0000 0.0000
0.5000 0.5000 0.0000
0.2795 0.7795 0.5000
0.7205 0.2205 0.5000
```

***

Entry iii
A plane-wave DFT calculation with PBE-GGA was carried out for crystalline LaReAg2 at its relaxed geometry.

The space group is No. 99.

```
LaReAg2
1.0
3.3679 0.0000 0.0000
0.0000 3.3679 0.0000
0.0000 0.0000 7.4725
La Re Ag
1 1 2
Direct
0.0000 0.0000 0.0000
0.5000 0.5000 0.2652
0.0000 0.0000 0.4710
0.5000 0.5000 0.6766
```

***

Most stable: entry ii. Least stable: entry i.

***

Entry i
A plane-wave DFT calculation with PBE-GGA was carried out for crystalline LaReAg2 at its relaxed geometry.

The space group is No. 225.

```
LaReAg2
1.0
0.0000 3.5006 3.5006
3.5006 0.0000 3.5006
3.5006 3.5006 0.0000
La Re Ag
1 1 2
Direct
0.0000 0.0000 0.0000
0.5000 0.5000 0.5000
0.2500 0.2500 0.2500
0.7500 0.7500 0.7500
```

***

Entry ii
A plane-wave DFT calculation with PBE-GGA was carried out for crystalline LaReAg2 at its relaxed geometry.

The space group is No. 99.

```
LaReAg2
1.0
2.9046 0.0000 0.0000
0.0000 2.9046 0.0000
0.0000 0.0000 9.3818
La Re Ag
1 1 2
Direct
0.0000 0.0000 0.0000
0.5000 0.5000 0.2669
0.0000 0.0000 0.4844
0.5000 0.5000 0.7109
```

***

Entry iii
A plane-wave DFT calculation with PBE-GGA was carried out for crystalline LaReAg2 at its relaxed geometry.

The space group is No. 122.

```
LaReAg2
1.0
-2.0414 2.0414 10.6014
2.0414 -2.0414 10.6014
2.0414 2.0414 -10.6014
La Re Ag
2 2 4
Direct
0.0000 0.0000 0.0000
0.7500 0.2500 0.5000
0.2500 0.7500 0.5000
0.5000 0.5000 0.0000
0.1561 0.6250 0.0311
0.3750 0.4061 0.5311
0.5939 0.1250 0.9689
0.8750 0.8439 0.4689
```

***

Most stable: entry ii. Least stable: entry iii.

***

Entry i
A plane-wave DFT calculation with PBE-GGA was carried out for crystalline LaReAg2 at its relaxed geometry.

The space group is No. 65.

```
LaReAg2
1.0
2.9274 -4.5004 0.0000
2.9274 4.5004 0.0000
0.0000 0.0000 3.0104
La Re Ag
1 1 2
Direct
0.0000 0.0000 0.0000
0.5000 0.5000 0.0000
0.0000 0.5000 0.5000
0.5000 0.0000 0.5000
```

***

Entry ii
A plane-wave DFT calculation with PBE-GGA was carried out for crystalline LaReAg2 at its relaxed geometry.

The space group is No. 160.

```
LaReAg2
1.0
1.4866 0.8583 10.3320
-1.4866 0.8583 10.3320
0.0000 -1.7165 10.3320
La Re Ag
1 1 2
Direct
0.0000 0.0000 0.0000
0.7540 0.7540 0.7540
0.2383 0.2383 0.2383
0.4951 0.4951 0.4951
```

***

Entry iii
A plane-wave DFT calculation with PBE-GGA was carried out for crystalline LaReAg2 at its relaxed geometry.

The space group is No. 139.

```
LaReAg2
1.0
-2.1184 2.1184 4.6296
2.1184 -2.1184 4.6296
2.1184 2.1184 -4.6296
La Re Ag
1 1 2
Direct
0.0000 0.0000 0.0000
0.5000 0.5000 0.0000
0.2500 0.7500 0.5000
0.7500 0.2500 0.5000
```

***

Entry iv
A plane-wave DFT calculation with PBE-GGA was carried out for crystalline LaReAg2 at its relaxed geometry.

The space group is No. 10.

```
LaReAg2
1.0
3.0113 0.0000 0.0000
0.0000 5.1517 0.0000
-1.2746 0.0000 5.2656
La Re Ag
1 1 2
Direct
0.0000 0.0000 0.0000
0.5000 0.0000 0.5000
0.3382 0.5000 0.7221
0.6618 0.5000 0.2779
```

***

Most stable: entry iv. Least stable: entry ii.

***

Entry i
A plane-wave DFT calculation with PBE-GGA was carried out for crystalline LaReAg2 at its relaxed geometry.

The space group is No. 25.

```
LaReAg2
1.0
2.8765 0.0000 0.0000
0.0000 4.3241 0.0000
0.0000 0.0000 6.6152
La Re Ag
1 1 2
Direct
0.0000 0.0000 0.0000
0.5000 0.5000 0.2623
0.0000 0.0000 0.4780
0.5000 0.5000 0.6897
```

***

Entry ii
A plane-wave DFT calculation with PBE-GGA was carried out for crystalline LaReAg2 at its relaxed geometry.

The space group is No. 123.

```
LaReAg2
1.0
2.9078 0.0000 0.0000
0.0000 2.9078 0.0000
0.0000 0.0000 9.2693
La Re Ag
1 1 2
Direct
0.0000 0.0000 0.0000
0.0000 0.0000 0.5000
0.5000 0.5000 0.2835
0.5000 0.5000 0.7165
```

***

Most stable: entry i. Least stable: entry ii.